[1]
PBE TcAgSeO2, relaxed; size of the total moment = 0.000 μB/atom; raw total energy = -6.067 eV per atom; formation energy from raw total energies = -743 meV per atom; DOS at the Fermi energy = 1.0 states/eV/cell; space group = P4/mmm, No. 123
1.0
3.792 0.000 0.000
0.000 3.792 0.000
0.000 0.000 5.555
Tc Ag Se O
1 1 1 2
direct
0.000 0.000 0.000 Tc
0.500 0.500 0.500 Ag
0.000 0.000 0.500 Se
0.000 0.500 0.000 O
0.500 0.000 0.000 O

[2]
PBE AgTe2SeO, relaxed; size of the total moment = 0.000 μB/atom; raw total energy = -2.362 eV per atom; formation energy from raw total energies = 1153 meV per atom; DOS at the Fermi energy = 9.6 states/eV/cell; space group = P4/mmm, No. 123
1.0
5.411 0.000 0.000
0.000 5.411 0.000
0.000 0.000 4.937
Ag Te Se O
1 2 1 1
direct
0.000 0.000 0.000 Ag
0.000 0.500 0.000 Te
0.500 0.000 0.000 Te
0.000 0.000 0.500 Se
0.500 0.500 0.500 O

[3]
PBE TiAgSeO6, relaxed; size of the total moment = 0.000 μB/atom; raw total energy = -6.057 eV per atom; formation energy from raw total energies = -1170 meV per atom; DOS at the Fermi energy = 7.6 states/eV/cell; space group = P-31c, No. 163
1.0
5.092 0.000 0.000
-2.546 4.410 0.000
0.000 0.000 9.591
Ti Ag Se O
2 2 2 12
direct
0.333 0.667 0.250 Ti
0.667 0.333 0.750 Ti
0.000 0.000 0.000 Ag
0.000 0.000 0.500 Ag
0.333 0.667 0.750 Se
0.667 0.333 0.250 Se
0.021 0.385 0.643 O
0.021 0.636 0.857 O
0.364 0.385 0.857 O
0.364 0.979 0.643 O
0.385 0.021 0.143 O
0.385 0.364 0.357 O
0.615 0.636 0.643 O
0.615 0.979 0.857 O
0.636 0.021 0.357 O
0.636 0.615 0.143 O
0.979 0.364 0.143 O
0.979 0.615 0.357 O

[4]
PBE TlAgSe2O6, relaxed; size of the total moment = 0.000 μB/atom; raw total energy = -4.845 eV per atom; formation energy from raw total energies = -651 meV per atom; space group = C2/c, No. 15
1.0
5.204 -4.744 0.000
5.204 4.744 0.000
-2.815 0.000 6.599
Tl Ag Se O
2 2 4 12
direct
0.196 0.804 0.750 Tl
0.804 0.196 0.250 Tl
0.409 0.591 0.250 Ag
0.591 0.409 0.750 Ag
0.091 0.321 0.784 Se
0.321 0.091 0.284 Se
0.679 0.909 0.716 Se
0.909 0.679 0.216 Se
0.101 0.205 0.190 O
0.135 0.686 0.401 O
0.205 0.101 0.690 O
0.246 0.471 0.736 O
0.314 0.865 0.099 O
0.471 0.246 0.236 O
0.529 0.754 0.764 O
0.686 0.135 0.901 O
0.754 0.529 0.264 O
0.795 0.899 0.310 O
0.865 0.314 0.599 O
0.899 0.795 0.810 O

[5]
PBE TlAg2SeO4, relaxed; size of the total moment = 0.000 μB/atom; raw total energy = -4.220 eV per atom; formation energy from raw total energies = -297 meV per atom; DOS at the Fermi energy = 2.9 states/eV/cell; space group = C2/c, No. 15
1.0
4.147 -5.321 0.000
4.147 5.321 0.000
-4.036 0.000 5.712
Tl Ag Se O
2 4 2 8
direct
0.000 0.500 0.000 Tl
0.500 0.000 0.500 Tl
0.000 0.000 0.000 Ag
0.000 0.000 0.500 Ag
0.000 0.500 0.500 Ag
0.500 0.000 0.000 Ag
0.500 0.500 0.000 Se
0.500 0.500 0.500 Se
0.168 0.274 0.860 O
0.242 0.609 0.394 O
0.274 0.168 0.360 O
0.391 0.758 0.106 O
0.609 0.242 0.894 O
0.726 0.832 0.640 O
0.758 0.391 0.606 O
0.832 0.726 0.140 O

[6]
PBE Tl3AgSe2O8, relaxed; size of the total moment = 0.000 μB/atom; raw total energy = -4.752 eV per atom; formation energy from raw total energies = -710 meV per atom; DOS at the Fermi energy = 0.0 states/eV/cell; space group = P-3m1, No. 164
1.0
6.104 0.000 0.000
-3.052 5.286 0.000
0.000 0.000 7.938
Tl Ag Se O
3 1 2 8
direct
0.000 0.000 0.000 Tl
0.333 0.667 0.678 Tl
0.667 0.333 0.322 Tl
0.000 0.000 0.500 Ag
0.333 0.667 0.222 Se
0.667 0.333 0.778 Se
0.183 0.366 0.295 O
0.183 0.817 0.295 O
0.333 0.667 0.013 O
0.366 0.183 0.705 O
0.634 0.817 0.295 O
0.667 0.333 0.987 O
0.817 0.183 0.705 O
0.817 0.634 0.705 O

Question: The highest raw total energy belongs to which entry?
Answer: AgTe2SeO

Question: Which of these has the highest raw total energy?
Answer: AgTe2SeO